# 1
# Pm3Pr5Hg2

A geometry-optimized Pm3Pr5Hg2 structure (PBE-GGA, the Alexandria database).

Lattice parameters (Å, degrees): 6.6668 10.1293 10.1286 106.11 88.33 88.34
With the nearest neighbours (Å) after each atom.
Element x y z (fractional)
Pm (0.2500, 0.0325, 0.9674)  4 Hg 3.19-3.37, 2 Pm 3.50
Pm (0.7500, 0.9675, 0.0326)  4 Hg 3.19-3.37, 2 Pm 3.50
Pm (0.4292, 0.3473, 0.8733)  2 Hg 3.26-3.52, 2 Pr 3.54-3.64, 1 Pm 3.60
Pm (0.5708, 0.6527, 0.1267)  2 Hg 3.26-3.52, 2 Pr 3.54-3.64, 1 Pm 3.60
Pm (0.9292, 0.8733, 0.3473)  2 Hg 3.26-3.52, 2 Pr 3.54-3.64, 1 Pm 3.60
Pm (0.0708, 0.1267, 0.6527)  2 Hg 3.26-3.52, 2 Pr 3.54-3.64, 1 Pm 3.60
Pr (0.2500, 0.4671, 0.5329)  8 Pr 3.37-3.76
Pr (0.7500, 0.5329, 0.4671)  8 Pr 3.37-3.76
Pr (0.4559, 0.6904, 0.8001)  1 Hg 3.23, 2 Pr 3.37-3.58, 2 Pm 3.54-3.62
Pr (0.0441, 0.1999, 0.3096)  1 Hg 3.23, 2 Pr 3.37-3.58, 2 Pm 3.54-3.62
Pr (0.5441, 0.3096, 0.1999)  1 Hg 3.23, 2 Pr 3.37-3.58, 2 Pm 3.54-3.62
Pr (0.9559, 0.8001, 0.6904)  1 Hg 3.23, 2 Pr 3.37-3.58, 2 Pm 3.54-3.62
Pr (0.0959, 0.5095, 0.1920)  2 Hg 3.21, 2 Pr 3.52-3.58
Pr (0.9041, 0.4905, 0.8080)  2 Hg 3.21, 2 Pr 3.52-3.58
Pr (0.5959, 0.1920, 0.5094)  2 Hg 3.21, 2 Pr 3.52-3.58
Pr (0.4041, 0.8080, 0.4906)  2 Hg 3.21, 2 Pr 3.52-3.58
Hg (0.0935, 0.7411, 0.0301)  4 Pm 3.19-3.52, 3 Pr 3.21-3.23, 1 Hg 3.56
Hg (0.9065, 0.2589, 0.9699)  4 Pm 3.19-3.52, 3 Pr 3.21-3.23, 1 Hg 3.56
Hg (0.5936, 0.0302, 0.7411)  4 Pm 3.19-3.52, 3 Pr 3.21-3.23, 1 Hg 3.56
Hg (0.4064, 0.9698, 0.2589)  4 Pm 3.19-3.52, 3 Pr 3.21-3.23, 1 Hg 3.56

* total energy: -4.0139 eV per atom
* space-group type: C2/c



# 2
# Be4GeRh2

A geometry-optimized Be4GeRh2 structure (PBE-GGA, the Alexandria database).

Lattice parameters (Å, degrees): 3.2564 3.2564 7.7336 102.15 102.15 90.00
With the nearest neighbours (Å) after each atom.
Element x y z (fractional)
Be (0.1529, 0.1529, 0.3057)  4 Be 2.17, 1 Ge 2.26, 4 Rh 2.33
Be (0.8471, 0.8471, 0.6943)  4 Be 2.17, 1 Ge 2.26, 4 Rh 2.33
Be (0.7500, 0.2500, 0.5000)  8 Be 2.17-2.30, 4 Rh 2.41
Be (0.2500, 0.7500, 0.5000)  8 Be 2.17-2.30, 4 Rh 2.41
Ge (0.0000, 0.0000, 0.0000)  2 Be 2.26
Rh (0.6296, 0.6296, 0.2593)  8 Be 2.33-2.41
Rh (0.3704, 0.3704, 0.7407)  8 Be 2.33-2.41

* total energy: -5.2184 eV per atom
* space-group type: I4/mmm



# 3
# GdMg4Hg

A geometry-optimized GdMg4Hg structure (PBE-GGA, the Alexandria database).

Lattice parameters (Å, degrees): 5.9539 5.9539 5.9539 60.00 60.00 60.00
With the nearest neighbours (Å) after each atom.
Element x y z (fractional)
Mg (0.6244, 0.6244, 0.1267)  6 Mg 2.96-2.99
Mg (0.6244, 0.1267, 0.6244)  6 Mg 2.96-2.99
Mg (0.6244, 0.6244, 0.6244)  6 Mg 2.96-2.99
Mg (0.1267, 0.6244, 0.6244)  6 Mg 2.96-2.99
Gd (0.2500, 0.2500, 0.2500)  12 Mg 3.49, 4 Hg 3.65
Hg (0.0000, 0.0000, 0.0000)  12 Mg 3.49, 4 Gd 3.65

* total energy: -3.4536 eV per atom
* space-group type: F-43m



# 4
# Pr4Y5Er4

A geometry-optimized Pr4Y5Er4 structure (PBE-GGA, the Alexandria database).

Lattice parameters (Å, degrees): 5.0810 9.5216 9.5216 85.92 74.53 74.53
With the nearest neighbours (Å) after each atom.
Element x y z (fractional)
Pr (0.9216, 0.4600, 0.6968)  4 Er 3.55-3.60, 3 Y 3.59-3.64, 5 Pr 3.64-3.68
Pr (0.6184, 0.3032, 0.4600)  4 Er 3.55-3.60, 3 Y 3.59-3.64, 5 Pr 3.64-3.68
Pr (0.0784, 0.5400, 0.3032)  4 Er 3.55-3.60, 3 Y 3.59-3.64, 5 Pr 3.64-3.68
Pr (0.3816, 0.6968, 0.5400)  4 Er 3.55-3.60, 3 Y 3.59-3.64, 5 Pr 3.64-3.68
Y (0.6898, 0.8498, 0.7705)  4 Y 3.56-3.58, 5 Er 3.57-3.61, 3 Pr 3.59-3.64
Y (0.3102, 0.1502, 0.2295)  4 Y 3.56-3.58, 5 Er 3.57-3.61, 3 Pr 3.59-3.64
Y (0.0000, 0.0000, 0.0000)  8 Y 3.58, 4 Er 3.59
Y (0.5397, 0.7705, 0.1502)  4 Y 3.56-3.58, 5 Er 3.57-3.61, 3 Pr 3.59-3.64
Y (0.4603, 0.2295, 0.8498)  4 Y 3.56-3.58, 5 Er 3.57-3.61, 3 Pr 3.59-3.64
Er (0.7701, 0.3837, 0.0761)  4 Pr 3.55-3.60, 6 Y 3.57-3.61, 2 Er 3.60
Er (0.2299, 0.6163, 0.9239)  4 Pr 3.55-3.60, 6 Y 3.57-3.61, 2 Er 3.60
Er (0.8462, 0.9239, 0.3837)  4 Pr 3.55-3.60, 6 Y 3.57-3.61, 2 Er 3.60
Er (0.1538, 0.0761, 0.6163)  4 Pr 3.55-3.60, 6 Y 3.57-3.61, 2 Er 3.60

* total energy: -5.3378 eV per atom
* space-group type: I4/m



# 5
# CuTcRh2

A geometry-optimized CuTcRh2 structure (PBE-GGA, the Alexandria database).

Lattice parameters (Å, degrees): 4.6621 4.6621 4.6778 80.95 80.95 33.39
With the nearest neighbours (Å) after each atom.
Element x y z (fractional)
Cu (0.7500, 0.7500, 0.7500)  2 Cu 2.68, 6 Rh 2.69-2.70, 4 Tc 2.70
Rh (0.0005, 0.0005, 0.0003)  6 Rh 2.68-2.70, 3 Tc 2.68-2.70, 3 Cu 2.69-2.70
Rh (0.4995, 0.4995, 0.4997)  6 Rh 2.68-2.70, 3 Tc 2.68-2.70, 3 Cu 2.69-2.70
Tc (0.2500, 0.2500, 0.2500)  2 Tc 2.68, 6 Rh 2.68-2.70, 4 Cu 2.70

* space-group type: C2/m
* polymorph energy (0 for the lowest one): 99 meV/atom



# 6
# Na2AcTbSe4

A geometry-optimized Na2AcTbSe4 structure (PBE-GGA, the Alexandria database).

Lattice parameters (Å, degrees): 4.3416 7.5403 7.4534 109.68 90.00 90.00
With the nearest neighbours (Å) after each atom.
Element x y z (fractional)
Na (0.5000, 0.0000, 0.5000)  6 Se 3.18-3.21
Na (0.0000, 0.5000, 0.5000)  6 Se 3.05
Ac (0.0000, 0.0000, 0.0000)  6 Se 3.08-3.09
Tb (0.5000, 0.5000, 0.0000)  6 Se 2.92-2.95
Se (0.5000, 0.2643, 0.2406)  1 Tb 2.92, 3 Na 3.05-3.21, 2 Ac 3.08
Se (0.5000, 0.7357, 0.7594)  1 Tb 2.92, 3 Na 3.05-3.21, 2 Ac 3.08
Se (0.0000, 0.2707, 0.7675)  2 Tb 2.95, 3 Na 3.05-3.18, 1 Ac 3.09
Se (0.0000, 0.7293, 0.2325)  2 Tb 2.95, 3 Na 3.05-3.18, 1 Ac 3.09

* total energy: -4.8637 eV per atom
* space-group type: P2/m



# 7
# Rb3Nd3CrS8

A geometry-optimized Rb3Nd3CrS8 structure (PBE-GGA, the Alexandria database).

Lattice parameters (Å, degrees): 8.0922 8.0936 9.1503 116.27 90.00 119.99
With the nearest neighbours (Å) after each atom.
Element x y z (fractional)
Rb (0.0000, 0.0000, 0.0000)  6 S 3.32-3.36
Rb (0.0000, 0.5000, 0.0000)  6 S 3.32-3.36
Rb (0.5000, 0.5000, 0.0000)  6 S 3.32-3.36
Nd (0.5000, 0.0000, 0.5000)  6 S 2.82-2.86
Nd (0.5000, 0.5000, 0.5000)  6 S 2.82-2.86
Nd (0.0000, 0.5000, 0.5000)  6 S 2.82-2.86
Cr (0.0000, 0.0000, 0.5000)  6 S 2.48
S (0.2664, 0.5329, 0.2994)  3 Nd 2.82
S (0.7336, 0.4671, 0.7006)  3 Nd 2.82
S (0.7943, 0.5886, 0.3220)  1 Cr 2.48
S (0.2057, 0.4114, 0.6780)  1 Cr 2.48
S (0.7944, 0.0275, 0.3220)  1 Cr 2.48
S (0.2056, 0.9725, 0.6780)  1 Cr 2.48
S (0.2331, 0.0275, 0.3220)  1 Cr 2.48
S (0.7669, 0.9725, 0.6780)  1 Cr 2.48

* total energy: -5.4608 eV per atom
* space-group type: R-3m



# 8
# Ac2Pr4Th

A geometry-optimized Ac2Pr4Th structure (PBE-GGA, the Alexandria database).

Lattice parameters (Å, degrees): 3.7811 3.7811 21.5858 84.98 84.98 60.00
With the nearest neighbours (Å) after each atom.
Element x y z (fractional)
Ac (0.5719, 0.5719, 0.2843)  6 Ac 3.78, 6 Pr 3.81-3.92
Ac (0.4281, 0.4281, 0.7157)  6 Ac 3.78, 6 Pr 3.81-3.92
Pr (0.8568, 0.8568, 0.4296)  9 Pr 3.73-3.78, 3 Ac 3.81
Pr (0.7110, 0.7110, 0.8671)  3 Th 3.59, 6 Pr 3.78, 3 Ac 3.92
Pr (0.2890, 0.2890, 0.1329)  3 Th 3.59, 6 Pr 3.78, 3 Ac 3.92
Pr (0.1432, 0.1432, 0.5704)  9 Pr 3.73-3.78, 3 Ac 3.81
Th (0.0000, 0.0000, 0.0000)  6 Pr 3.59, 6 Th 3.78

* total energy: -4.9198 eV per atom
* space-group type: R-3m



# 9
# HoPd9Pb2

A geometry-optimized HoPd9Pb2 structure (PBE-GGA, the Alexandria database).

Lattice parameters (Å, degrees): 4.1158 4.1158 12.3063 90.00 90.00 90.00
With the nearest neighbours (Å) after each atom.
Element x y z (fractional)
Ho (0.0000, 0.0000, 0.0000)  12 Pd 2.91
Pd (0.5000, 0.5000, 0.0000)  8 Pd 2.91, 4 Ho 2.91
Pd (0.5000, 0.5000, 0.3349)  8 Pd 2.89-2.92, 4 Pb 2.91
Pd (0.5000, 0.5000, 0.6651)  8 Pd 2.89-2.92, 4 Pb 2.91
Pd (0.5000, 0.0000, 0.1668)  2 Pb 2.90, 2 Ho 2.91, 8 Pd 2.91-2.92
Pd (0.5000, 0.0000, 0.5000)  8 Pd 2.89-2.91, 4 Pb 2.91
Pd (0.5000, 0.0000, 0.8332)  2 Pb 2.90, 2 Ho 2.91, 8 Pd 2.91-2.92
Pd (0.0000, 0.5000, 0.1668)  2 Pb 2.90, 2 Ho 2.91, 8 Pd 2.91-2.92
Pd (0.0000, 0.5000, 0.5000)  8 Pd 2.89-2.91, 4 Pb 2.91
Pd (0.0000, 0.5000, 0.8332)  2 Pb 2.90, 2 Ho 2.91, 8 Pd 2.91-2.92
Pb (0.0000, 0.0000, 0.3327)  12 Pd 2.90-2.91
Pb (0.0000, 0.0000, 0.6673)  12 Pd 2.90-2.91

* total energy: -5.3864 eV per atom
* space-group type: P4/mmm



# 10
# NaZrI2N

A geometry-optimized NaZrI2N structure (PBE-GGA, the Alexandria database).

Lattice parameters (Å, degrees): 5.5033 5.5033 4.1351 90.00 90.00 90.00
With the nearest neighbours (Å) after each atom.
Element x y z (fractional)
I (0.0000, 0.5000, 0.0000)  2 Na 2.75
I (0.5000, 0.0000, 0.0000)  2 Na 2.75
Na (0.0000, 0.0000, 0.0000)  2 N 2.07
Zr (0.5000, 0.5000, 0.5000)  8 I 3.44
N (0.0000, 0.0000, 0.5000)  2 Na 2.07

* space-group type: P4/mmm
* polymorph energy (0 for the lowest one): 1663 meV/atom



| no. | magnetic moment (μB per atom) |
| --- | --- |
| 1 | 0.000 |
| 2 | 0.000 |
| 3 | 1.253 |
| 4 | 0.000 |
| 5 | 0.000 |
| 6 | 0.000 |
| 7 | 0.129 |
| 8 | 0.000 |
| 9 | 0.000 |
| 10 | 0.002 |